Run P
The following is a PBE calculation of an optimized crystal structure of CrHOs, from Alexandria via LeMat-Bulk.

Cell: 2.7083 2.7083 3.8354 Å, 90.00 90.00 90.00°
Closest atoms and distances in Å follow each position.
Fractional coordinates of all 3 atoms:
Cr 0.0000 0.0000 0.0000  4 H 1.92
H 0.5000 0.5000 0.9643  2 Os 1.88-1.95, 4 Cr 1.92
Os 0.5000 0.5000 0.4740  2 H 1.88-1.95


Run Q
The following is a PBE calculation of an optimized crystal structure of CrHOs, from Alexandria via LeMat-Bulk.

Cell: 2.7387 2.7494 3.9301 Å, 90.00 90.00 90.00°
Closest atoms and distances in Å follow each position.
Fractional coordinates of all 3 atoms:
Cr 0.0000 0.0000 0.0000  2 H 1.74
H 0.5000 0.0000 0.7262  2 Cr 1.74, 2 Os 1.83
Os 0.5000 0.5000 0.4189  2 H 1.83


run P ends up most stable, edging out the next structure by 83 meV per atom.